## MoH2Pt2 (GGA-PBE)

Data for crystalline MoH2Pt2 at its relaxed geometry. Values from VASP.

The structure in Quantum ESPRESSO input format:
```
&SYSTEM
  ibrav = 0, nat = 5, ntyp = 3
/
ATOMIC_SPECIES
H 1.01 H.upf
Mo 95.94 Mo.upf
Pt 195.08 Pt.upf
ATOMIC_POSITIONS crystal
H 0.750 0.250 0.500
H 0.250 0.750 0.500
Mo 0.000 0.000 0.000
Pt 0.353 0.353 0.294
Pt 0.647 0.647 0.706
CELL_PARAMETERS angstrom
2.840 0.000 0.000
0.000 2.840 0.000
1.420 1.420 6.635
```

Theoretical density ... 15.15 g/cm³
Uncorrected energy ... -29.53 eV for the cell shown